Below is an optimized crystal structure of NaIrOs, with properties calculated at the GGA-PBE level.

Output
Total energy (eV per atom): -6.679
Energy above the most stable polymorph in this dataset (meV per atom): 85
Energy of formation (eV per atom): 0.458

Lattice parameters (Å, degrees): 5.5721 5.5721 4.6631 104.88 104.88 124.54
Atoms (fractional coordinates):
Na: 0.1535 0.1535 0.3044
Na: 0.8465 0.8465 0.6956
Ir: 0.6210 0.3790 0.0000
Ir: 0.7505 0.2495 0.5000
Os: 0.2489 0.7511 0.5000
Os: 0.3682 0.6318 0.0000